VASP calculation (GGA-PBE) on an optimized crystal structure of Pr2Tl3.

Structure (CIF):
```
data_Pr2Tl3
_chemical_formula_sum 'Pr6 Tl9'
_cell_length_a 5.2814
_cell_length_b 5.2814
_cell_length_c 19.0526
_cell_angle_alpha 90.00
_cell_angle_beta 90.00
_cell_angle_gamma 120.00
_space_group_name_H-M_alt 'P 1'
_space_group_IT_number 1
_space_group_name_Hall 'P 1'
loop_
_atom_site_label
_atom_site_type_symbol
_atom_site_fract_x
_atom_site_fract_y
_atom_site_fract_z
Pr1 Pr 0.0000 0.0000 0.1014
Pr2 Pr 0.0000 0.0000 0.8986
Pr3 Pr 0.3333 0.6667 0.5653
Pr4 Pr 0.3333 0.6667 0.7681
Pr5 Pr 0.6667 0.3333 0.2319
Pr6 Pr 0.6667 0.3333 0.4347
Tl1 Tl 0.0000 0.0000 0.3053
Tl2 Tl 0.0000 0.0000 0.5000
Tl3 Tl 0.0000 0.0000 0.6947
Tl4 Tl 0.3333 0.6667 0.1667
Tl5 Tl 0.3333 0.6667 0.3614
Tl6 Tl 0.3333 0.6667 0.9719
Tl7 Tl 0.6667 0.3333 0.0281
Tl8 Tl 0.6667 0.3333 0.6386
Tl9 Tl 0.6667 0.3333 0.8333
```

Results
Energy of formation from the pure elements (eV/atom): -0.2825
Density of states at the Fermi level (states/eV/atom): 0.7246